# PBE HgCl4, optimized geometry
# Total moment, μB/atom: 0.3589
# Volume, Å³/f.u.: 136
# Formation energy without anion corrections, eV/atom: 0.1694
data_HgCl4
_chemical_formula_sum 'Hg2 Cl8'
_space_group_name_H-M_alt 'I m -3 m'
_space_group_IT_number 229
_space_group_name_Hall '-I 4 2 3'
_cell_length_a 6.479
_cell_length_b 6.479
_cell_length_c 6.479
_cell_angle_alpha 90.00
_cell_angle_beta 90.00
_cell_angle_gamma 90.00
loop_
_atom_site_label
_atom_site_fract_x
_atom_site_fract_y
_atom_site_fract_z
_atom_site_occupancy
Hg1 0.000 0.000 0.000 1
Cl1 0.250 0.250 0.250 1